(1)
Li2CrFe3O8, optimized geometry, DFT PBE+U; VASP energy = -6.28 eV per atom; M_tot = 10.00 Bohr magnetons per cell
1.0
2.9539 1.7054 4.7912
-2.9539 1.7054 4.7912
0.0000 -3.4109 4.7912
Li Cr Fe O
2 1 3 8
Cartesian
0.0000 0.0000 1.7181
0.0000 0.0000 12.6556
0.0000 0.0000 7.1868
-1.4770 -0.8527 4.7912
-1.4770 0.8527 9.5825
0.0000 1.7054 4.7912
0.0000 0.0000 3.7549
0.0000 -1.5227 5.8999
-1.3187 0.7613 5.8999
-1.3187 -0.7613 8.4738
1.3187 0.7613 5.8999
1.3187 -0.7613 8.4738
0.0000 1.5227 8.4738
0.0000 0.0000 10.6188

---

(2)
LiCr3Fe2O8, optimized geometry, DFT PBE+U; VASP energy = -7.04 eV per atom; M_tot = 15.00 Bohr magnetons per cell
1.0
2.9855 1.7237 4.8011
-2.9855 1.7237 4.8011
0.0000 -3.4473 4.8011
Li Cr Fe O
1 3 2 8
Cartesian
0.0000 0.0000 0.0000
-1.5269 -0.8816 6.6099
1.5269 -0.8816 6.6099
0.0000 1.7632 6.6099
0.0000 0.0000 3.6170
0.0000 0.0000 9.0623
0.0000 0.0000 5.5419
0.0000 -1.6007 7.8108
-1.3862 0.8003 7.8108
-1.3343 -0.7704 10.2509
1.3862 0.8003 7.8108
1.3343 -0.7704 10.2509
0.0000 1.5407 10.2509
0.0000 0.0000 12.4493

---

(3)
Li5Cr2Fe5O12, optimized geometry, DFT PBE+U; VASP energy = -6.44 eV per atom; M_tot = 17.00 Bohr magnetons per cell
1.0
2.5520 -4.5529 0.0000
2.5520 4.5529 0.0000
-1.8896 0.0000 9.7022
Li Cr Fe O
5 2 5 12
Cartesian
0.0000 0.0000 0.0000
-0.1488 0.0173 7.3111
0.7790 -1.5550 2.4069
3.3633 0.0173 2.3911
2.4355 -1.5550 7.2953
2.5520 1.5160 0.0000
1.6072 -3.0744 4.8511
0.7977 1.4577 2.3887
1.6072 3.0489 4.8511
1.6072 -0.0744 4.8511
2.4168 1.4577 7.3134
2.5520 -1.4748 0.0000
1.6340 2.8991 1.1845
-0.1130 0.1039 3.5981
0.7401 1.4640 6.0701
1.5804 2.8991 8.5176
1.7210 0.0704 1.1474
2.4744 1.4640 3.6321
0.7506 -1.6797 6.0489
1.4935 0.0704 8.5548
1.6990 -2.9462 1.1526
2.4639 -1.6797 3.6533
3.3275 0.1039 6.1041
1.5155 -2.9462 8.5495

---

Repeat the second record exactly.
LiCr3Fe2O8, optimized geometry, DFT PBE+U; VASP energy = -7.04 eV per atom; M_tot = 15.00 Bohr magnetons per cell
1.0
2.9855 1.7237 4.8011
-2.9855 1.7237 4.8011
0.0000 -3.4473 4.8011
Li Cr Fe O
1 3 2 8
Cartesian
0.0000 0.0000 0.0000
-1.5269 -0.8816 6.6099
1.5269 -0.8816 6.6099
0.0000 1.7632 6.6099
0.0000 0.0000 3.6170
0.0000 0.0000 9.0623
0.0000 0.0000 5.5419
0.0000 -1.6007 7.8108
-1.3862 0.8003 7.8108
-1.3343 -0.7704 10.2509
1.3862 0.8003 7.8108
1.3343 -0.7704 10.2509
0.0000 1.5407 10.2509
0.0000 0.0000 12.4493

---

- Look up the M_tot of the third one.
  17.00 Bohr magnetons per cell

---

- Number 3 is which compound?
  Li5Cr2Fe5O12